[1]
An optimized crystal structure of CaLaF3. Source: Alexandria via LeMat-Bulk, functional PBE-GGA.

Values from the calculation:
- size of the total moment (μB per cell) = 0.00
- energy above the lowest structure with this stoichiometry (eV per formula unit) = 0.00
- DOS(E_F) (states/eV per atom) = 0.001
- energy relative to the elements, uncorrected (eV/atom) = -2.836

Cell lengths 4.8641, 4.8641, 4.8641 Å; angles 90.00, 90.00, 90.00 degrees
Element x y z (fractional)
1 F 0.0000 0.0000 0.5000
2 F 0.0000 0.5000 0.0000
3 La 0.0000 0.0000 0.0000
4 Ca 0.5000 0.5000 0.5000
5 F 0.5000 0.0000 0.0000

***

[2]
An optimized crystal structure of CdGa2Hg. Source: Alexandria via LeMat-Bulk, functional PBE-GGA.

Values from the calculation:
- size of the total moment (μB per cell) = 0.00
- energy relative to the elements (eV/atom) = 0.049
- energy above the lowest structure with this stoichiometry (eV per formula unit) = 0.00
- DOS(E_F) (states/eV per atom) = 0.236

Cell lengths 4.2147, 4.1906, 10.3852 Å; angles 90.00, 104.91, 90.00 degrees
Element x y z (fractional)
1 Cd 0.2950 0.2500 0.6156
2 Ga 0.4491 0.7500 0.8988
3 Hg 0.8356 0.7500 0.6781
4 Hg 0.1644 0.2500 0.3219
5 Ga 0.0698 0.7500 0.1091
6 Ga 0.5509 0.2500 0.1012
7 Cd 0.7050 0.7500 0.3844
8 Ga 0.9302 0.2500 0.8909

***

[3]
An optimized crystal structure of PmErMgRu. Source: Alexandria via LeMat-Bulk, functional PBE-GGA.

Values from the calculation:
- size of the total moment (μB per cell) = 0.00
- energy relative to the elements (eV/atom) = -0.244
- energy above the lowest structure with this stoichiometry (eV per formula unit) = 0.00
- DOS(E_F) (states/eV per atom) = 0.872

Cell lengths 3.4244, 3.4244, 8.5112 Å; angles 90.00, 90.00, 90.00 degrees
Element x y z (fractional)
1 Ru 0.0000 0.0000 0.5613
2 Pm 0.5000 0.5000 0.7690
3 Mg 0.0000 0.0000 0.0798
4 Er 0.5000 0.5000 0.3747

***

[4]
An optimized crystal structure of GaHgTe. Source: Alexandria via LeMat-Bulk, functional PBE-GGA.

Values from the calculation:
- size of the total moment (μB per cell) = 0.00
- energy above the lowest structure with this stoichiometry (eV per formula unit) = 0.26
- DOS(E_F) (states/eV per atom) = 0.450
- energy relative to the elements, uncorrected (eV/atom) = -0.040

Cell lengths 4.1739, 4.1664, 7.5754 Å; angles 106.31, 90.00, 120.06 degrees
Element x y z (fractional)
1 Ga 0.5548 0.1096 0.7213
2 Hg 0.4263 0.8525 0.3387
3 Te 0.2853 0.5707 0.9096

***

[5]
An optimized crystal structure of RbSb6O12. Source: Alexandria via LeMat-Bulk, functional PBE-GGA.

Values from the calculation:
- size of the total moment (μB per cell) = 0.00
- DOS(E_F) (states/eV per atom) = 0.402
- energy relative to the elements, uncorrected (eV/atom) = -0.990

Cell lengths 6.7514, 6.7514, 6.7514 Å; angles 104.02, 104.02, 104.02 degrees
Element x y z (fractional)
1 O 0.5568 0.5568 0.8204
2 O 0.5568 0.8204 0.5568
3 O 0.8833 0.1167 0.5000
4 O 0.1167 0.8833 0.5000
5 Sb 0.6034 0.2287 0.2287
6 O 0.4432 0.4432 0.1796
7 O 0.4432 0.1796 0.4432
8 O 0.1167 0.5000 0.8833
9 Sb 0.7713 0.7713 0.3966
10 O 0.8204 0.5568 0.5568
11 Sb 0.7713 0.3966 0.7713
12 Sb 0.2287 0.2287 0.6034
13 Sb 0.3966 0.7713 0.7713
14 O 0.8833 0.5000 0.1167
15 Sb 0.2287 0.6034 0.2287
16 O 0.5000 0.8833 0.1167
17 Rb 0.0000 0.0000 0.0000
18 O 0.5000 0.1167 0.8833
19 O 0.1796 0.4432 0.4432

***

[6]
An optimized crystal structure of Ni2AuBrN. Source: Alexandria via LeMat-Bulk, functional PBE-GGA.

Values from the calculation:
- size of the total moment (μB per cell) = 0.00
- DOS(E_F) (states/eV per atom) = 0.515
- energy relative to the elements, uncorrected (eV/atom) = 0.387

Cell lengths 3.6540, 6.9831, 3.6540 Å; angles 90.00, 90.00, 90.00 degrees
Element x y z (fractional)
1 Br 0.0000 0.5000 0.0000
2 N 0.0000 0.0000 0.0000
3 Au 0.5000 0.5000 0.5000
4 Ni 0.5000 0.0000 0.0000
5 Ni 0.0000 0.0000 0.5000

***

[7]
An optimized crystal structure of Ca8PtN4. Source: Alexandria via LeMat-Bulk, functional PBE-GGA.

Values from the calculation:
- size of the total moment (μB per cell) = 0.00
- energy relative to the elements, uncorrected (eV/atom) = -0.718

Cell lengths 7.5055, 7.5055, 7.5055 Å; angles 60.00, 60.00, 60.00 degrees
Element x y z (fractional)
1 N 0.3733 0.3733 0.3733
2 Ca 0.6045 0.6045 0.1864
3 Ca 0.1419 0.1419 0.1419
4 Ca 0.1864 0.6045 0.6045
5 Ca 0.6045 0.1864 0.6045
6 N 0.3733 0.8802 0.3733
7 Ca 0.6045 0.6045 0.6045
8 Ca 0.1419 0.5743 0.1419
9 N 0.8802 0.3733 0.3733
10 N 0.3733 0.3733 0.8802
11 Ca 0.5743 0.1419 0.1419
12 Ca 0.1419 0.1419 0.5743
13 Pt 0.7500 0.7500 0.7500

***

[8]
An optimized crystal structure of CdPdBr2. Source: Alexandria via LeMat-Bulk, functional PBE-GGA.

Values from the calculation:
- size of the total moment (μB per cell) = 0.00
- energy above the lowest structure with this stoichiometry (eV per formula unit) = 0.59
- DOS(E_F) (states/eV per atom) = 0.614
- energy relative to the elements, uncorrected (eV/atom) = -0.014

Cell lengths 5.0011, 5.0011, 5.0011 Å; angles 60.00, 60.00, 60.00 degrees
Element x y z (fractional)
1 Pd 0.0000 0.0000 0.0000
2 Cd 0.5000 0.5000 0.5000
3 Br 0.7500 0.7500 0.7500
4 Br 0.2500 0.2500 0.2500

***

[9]
An optimized crystal structure of VHg2Bi2. Source: Alexandria via LeMat-Bulk, functional PBE-GGA.

Values from the calculation:
- size of the total moment (μB per cell) = 3.73
- energy relative to the elements (eV/atom) = 0.672
- energy above the lowest structure with this stoichiometry (eV per formula unit) = 1.21
- DOS(E_F) (states/eV per atom) = 1.227

Cell lengths 4.4374, 4.4374, 8.1853 Å; angles 74.27, 74.27, 90.00 degrees
Each line ends with the local moment (μB).
Element x y z (fractional)
1 Bi 0.7500 0.2500 0.5000  -0.06
2 Bi 0.2500 0.7500 0.5000  -0.06
3 Hg 0.5916 0.5916 0.8169  0.00
4 Hg 0.4084 0.4084 0.1831  0.00
5 V 0.0000 0.0000 0.0000  3.07

***

[10]
An optimized crystal structure of TbRh4Au. Source: Alexandria via LeMat-Bulk, functional PBE-GGA.

Values from the calculation:
- size of the total moment (μB per cell) = 0.28
- energy relative to the elements (eV/atom) = -0.329
- DOS(E_F) (states/eV per atom) = 1.780

Cell lengths 5.2561, 5.2561, 5.2561 Å; angles 60.00, 60.00, 60.00 degrees
Each line ends with the local moment (μB).
Element x y z (fractional)
1 Au 0.0000 0.0000 0.0000  0.00
2 Rh 0.6254 0.1237 0.6254  0.07
3 Rh 0.6254 0.6254 0.6254  0.07
4 Tb 0.2500 0.2500 0.2500  -0.01
5 Rh 0.1237 0.6254 0.6254  0.07
6 Rh 0.6254 0.6254 0.1237  0.07

***

[11]
An optimized crystal structure of TlCoSe2. Source: Alexandria via LeMat-Bulk, functional PBE-GGA.

Values from the calculation:
- size of the total moment (μB per cell) = 1.05
- DOS(E_F) (states/eV per atom) = 0.855
- energy relative to the elements, uncorrected (eV/atom) = 0.100

Cell lengths 3.1171, 3.1171, 8.5162 Å; angles 90.00, 90.00, 90.00 degrees
Each line ends with the local moment (μB).
Element x y z (fractional)
1 Se 0.0000 0.0000 0.5823  0.00
2 Tl 0.5000 0.5000 0.2500  0.01
3 Se 0.0000 0.0000 0.9177  0.00
4 Co 0.5000 0.5000 0.7500  1.02

***

[12]
An optimized crystal structure of LaMn2Pb. Source: Alexandria via LeMat-Bulk, functional PBE-GGA.

Values from the calculation:
- size of the total moment (μB per cell) = 7.11
- energy relative to the elements (eV/atom) = 0.303
- DOS(E_F) (states/eV per atom) = 0.825

Cell lengths 5.5700, 5.5700, 5.5700 Å; angles 132.07, 132.07, 70.11 degrees
Each line ends with the local moment (μB).
Element x y z (fractional)
1 Pb 0.5000 0.5000 0.0000  -0.07
2 La 0.7500 0.2500 0.5000  -0.22
3 Mn 0.2500 0.7500 0.5000  3.59
4 Mn 0.0000 0.0000 0.0000  3.71

***

[13]
An optimized crystal structure of BaAsIr2. Source: Alexandria via LeMat-Bulk, functional PBE-GGA.

Values from the calculation:
- size of the total moment (μB per cell) = 0.00
- energy relative to the elements (eV/atom) = -0.224
- DOS(E_F) (states/eV per atom) = 1.112

Cell lengths 5.0982, 5.0982, 9.0409 Å; angles 73.62, 73.62, 90.00 degrees
Element x y z (fractional)
1 As 0.5000 0.5000 0.0000
2 Ba 0.0000 0.0000 0.0000
3 Ir 0.3750 0.6250 0.2500
4 Ir 0.3750 0.6250 0.7500
5 As 0.2500 0.7500 0.5000
6 Ir 0.3750 0.1250 0.2500
7 Ir 0.8750 0.6250 0.7500
8 Ba 0.7500 0.2500 0.5000

***

[14]
An optimized crystal structure of RbTlAg. Source: Alexandria via LeMat-Bulk, functional PBE-GGA.

Values from the calculation:
- size of the total moment (μB per cell) = 0.00
- energy relative to the elements (eV/atom) = 0.051
- energy above the lowest structure with this stoichiometry (eV per formula unit) = 0.18
- DOS(E_F) (states/eV per atom) = 0.811

Cell lengths 5.1045, 5.0499, 5.0499 Å; angles 120.00, 90.00, 90.00 degrees
Element x y z (fractional)
1 Tl 0.1672 0.0000 0.0000
2 Rb 0.6665 0.6667 0.3333
3 Ag 0.1663 0.3333 0.6667

***

[15]
An optimized crystal structure of TaRe2Ag. Source: Alexandria via LeMat-Bulk, functional PBE-GGA.

Values from the calculation:
- size of the total moment (μB per cell) = 0.00
- energy relative to the elements (eV/atom) = 0.255
- energy above the lowest structure with this stoichiometry (eV per formula unit) = 0.09
- DOS(E_F) (states/eV per atom) = 0.665

Cell lengths 2.8610, 3.9907, 5.7404 Å; angles 90.00, 90.00, 90.00 degrees
Element x y z (fractional)
1 Re 0.5000 0.5000 0.2318
2 Re 0.0000 0.0000 0.0310
3 Ag 0.5000 0.5000 0.7514
4 Ta 0.0000 0.0000 0.4859